Model 1:
Here is a relaxed structure of SmErZr from Alexandria via LeMat-Bulk. Energies are from GGA-PBE.

Cell and atoms, written as CIF:
```
data_SmErZr
_chemical_formula_sum 'Sm1 Er1 Zr1'
_cell_length_a 3.423
_cell_length_b 3.423
_cell_length_c 8.441
_cell_angle_alpha 90.00
_cell_angle_beta 90.00
_cell_angle_gamma 120.00
_space_group_name_H-M_alt 'P 1'
_space_group_IT_number 1
loop_
_space_group_symop_operation_xyz
'x,y,z'
loop_
_atom_site_label
_atom_site_fract_x
_atom_site_fract_y
_atom_site_fract_z
_atom_site_occupancy
Sm1 0.000 0.000 0.000 1
Er1 0.333 0.667 0.630 1
Zr1 0.667 0.333 0.319 1
```

* theoretical density: 7.93 g/cm³
* magnetization: 0.000 μB/cell

Model 2:
Here is a relaxed structure of SmErZr from Alexandria via LeMat-Bulk. Energies are from GGA-PBE.

Cell and atoms, written as CIF:
```
data_SmErZr
_chemical_formula_sum 'Sm2 Er2 Zr2'
_cell_length_a 3.371
_cell_length_b 4.900
_cell_length_c 10.454
_cell_angle_alpha 90.00
_cell_angle_beta 99.16
_cell_angle_gamma 90.00
_space_group_name_H-M_alt 'P 1'
_space_group_IT_number 1
loop_
_space_group_symop_operation_xyz
'x,y,z'
loop_
_atom_site_label
_atom_site_fract_x
_atom_site_fract_y
_atom_site_fract_z
_atom_site_occupancy
Sm1 0.052 0.250 0.100 1
Sm2 0.948 0.750 0.900 1
Er1 0.366 0.250 0.732 1
Er2 0.634 0.750 0.268 1
Zr1 0.213 0.250 0.427 1
Zr2 0.787 0.750 0.573 1
```

* theoretical density: 7.96 g/cm³
* magnetization: 0.002 μB/cell

Model 3:
Here is a relaxed structure of SmErZr from Alexandria via LeMat-Bulk. Energies are from GGA-PBE.

Cell and atoms, written as CIF:
```
data_SmErZr
_chemical_formula_sum 'Sm2 Er2 Zr2'
_cell_length_a 3.401
_cell_length_b 3.401
_cell_length_c 14.840
_cell_angle_alpha 90.00
_cell_angle_beta 90.00
_cell_angle_gamma 90.00
_space_group_name_H-M_alt 'P 1'
_space_group_IT_number 1
loop_
_space_group_symop_operation_xyz
'x,y,z'
loop_
_atom_site_label
_atom_site_fract_x
_atom_site_fract_y
_atom_site_fract_z
_atom_site_occupancy
Sm1 0.000 0.000 0.000 1
Sm2 0.500 0.500 0.500 1
Er1 0.000 0.000 0.688 1
Er2 0.500 0.500 0.188 1
Zr1 0.000 0.000 0.339 1
Zr2 0.500 0.500 0.839 1
```

* theoretical density: 7.91 g/cm³
* magnetization: 0.000 μB/cell

Taking the most stable structure as the zero point, the relative energies in meV/atom are model 1 10; model 2 38; model 3 0.

Model 1:
Here is a relaxed structure of Sm2ErZr from Alexandria via LeMat-Bulk. Energies are from GGA-PBE.

Cell and atoms, written as CIF:
```
data_Sm2ErZr
_chemical_formula_sum 'Sm8 Er4 Zr4'
_cell_length_a 7.812
_cell_length_b 7.812
_cell_length_c 7.812
_cell_angle_alpha 90.00
_cell_angle_beta 90.00
_cell_angle_gamma 90.00
_space_group_name_H-M_alt 'P 1'
_space_group_IT_number 1
loop_
_space_group_symop_operation_xyz
'x,y,z'
loop_
_atom_site_label
_atom_site_fract_x
_atom_site_fract_y
_atom_site_fract_z
_atom_site_occupancy
Sm1 0.250 0.250 0.250 1
Sm2 0.250 0.250 0.750 1
Sm3 0.250 0.750 0.250 1
Sm4 0.250 0.750 0.750 1
Sm5 0.750 0.250 0.250 1
Sm6 0.750 0.250 0.750 1
Sm7 0.750 0.750 0.250 1
Sm8 0.750 0.750 0.750 1
Er1 0.000 0.000 0.000 1
Er2 0.000 0.500 0.500 1
Er3 0.500 0.000 0.500 1
Er4 0.500 0.500 0.000 1
Zr1 0.000 0.000 0.500 1
Zr2 0.000 0.500 0.000 1
Zr3 0.500 0.000 0.000 1
Zr4 0.500 0.500 0.500 1
```

* theoretical density: 7.79 g/cm³
* magnetization: 6.965 μB/cell

Model 2:
Here is a relaxed structure of Sm2ErZr from Alexandria via LeMat-Bulk. Energies are from GGA-PBE.

Cell and atoms, written as CIF:
```
data_Sm2ErZr
_chemical_formula_sum 'Sm6 Er3 Zr3'
_cell_length_a 3.484
_cell_length_b 3.484
_cell_length_c 33.911
_cell_angle_alpha 90.00
_cell_angle_beta 90.00
_cell_angle_gamma 120.00
_space_group_name_H-M_alt 'P 1'
_space_group_IT_number 1
loop_
_space_group_symop_operation_xyz
'x,y,z'
loop_
_atom_site_label
_atom_site_fract_x
_atom_site_fract_y
_atom_site_fract_z
_atom_site_occupancy
Sm1 0.000 0.000 0.000 1
Sm2 0.000 0.000 0.175 1
Sm3 0.333 0.667 0.667 1
Sm4 0.333 0.667 0.842 1
Sm5 0.667 0.333 0.333 1
Sm6 0.667 0.333 0.508 1
Er1 0.000 0.000 0.755 1
Er2 0.333 0.667 0.421 1
Er3 0.667 0.333 0.088 1
Zr1 0.000 0.000 0.587 1
Zr2 0.333 0.667 0.254 1
Zr3 0.667 0.333 0.920 1
```

* theoretical density: 7.81 g/cm³
* magnetization: 0.000 μB/cell

Model 3:
Here is a relaxed structure of Sm2ErZr from Alexandria via LeMat-Bulk. Energies are from GGA-PBE.

Cell and atoms, written as CIF:
```
data_Sm2ErZr
_chemical_formula_sum 'Sm6 Er3 Zr3'
_cell_length_a 3.387
_cell_length_b 3.387
_cell_length_c 36.146
_cell_angle_alpha 90.00
_cell_angle_beta 90.00
_cell_angle_gamma 120.00
_space_group_name_H-M_alt 'P 1'
_space_group_IT_number 1
loop_
_space_group_symop_operation_xyz
'x,y,z'
loop_
_atom_site_label
_atom_site_fract_x
_atom_site_fract_y
_atom_site_fract_z
_atom_site_occupancy
Sm1 0.000 0.000 0.086 1
Sm2 0.000 0.000 0.914 1
Sm3 0.333 0.667 0.580 1
Sm4 0.333 0.667 0.753 1
Sm5 0.667 0.333 0.247 1
Sm6 0.667 0.333 0.420 1
Er1 0.000 0.000 0.500 1
Er2 0.333 0.667 0.167 1
Er3 0.667 0.333 0.833 1
Zr1 0.000 0.000 0.000 1
Zr2 0.333 0.667 0.667 1
Zr3 0.667 0.333 0.333 1
```

* theoretical density: 7.76 g/cm³
* magnetization: 0.000 μB/cell

Model 4:
Here is a relaxed structure of Sm2ErZr from Alexandria via LeMat-Bulk. Energies are from GGA-PBE.

Cell and atoms, written as CIF:
```
data_Sm2ErZr
_chemical_formula_sum 'Sm2 Er1 Zr1'
_cell_length_a 4.918
_cell_length_b 4.918
_cell_length_c 4.881
_cell_angle_alpha 90.00
_cell_angle_beta 90.00
_cell_angle_gamma 90.00
_space_group_name_H-M_alt 'P 1'
_space_group_IT_number 1
loop_
_space_group_symop_operation_xyz
'x,y,z'
loop_
_atom_site_label
_atom_site_fract_x
_atom_site_fract_y
_atom_site_fract_z
_atom_site_occupancy
Sm1 0.000 0.500 0.000 1
Sm2 0.500 0.000 0.000 1
Er1 0.000 0.000 0.500 1
Zr1 0.500 0.500 0.500 1
```

* theoretical density: 7.87 g/cm³
* magnetization: 0.012 μB/cell

Taking the most stable structure as the zero point, the relative energies in meV/atom are model 1 107; model 2 0; model 3 191; model 4 6.

Model 1:
Here is a relaxed structure of SmEr2Zr from Alexandria via LeMat-Bulk. Energies are from GGA-PBE.

Cell and atoms, written as CIF:
```
data_SmEr2Zr
_chemical_formula_sum 'Sm3 Er6 Zr3'
_cell_length_a 3.438
_cell_length_b 3.438
_cell_length_c 33.910
_cell_angle_alpha 90.00
_cell_angle_beta 90.00
_cell_angle_gamma 120.00
_space_group_name_H-M_alt 'P 1'
_space_group_IT_number 1
loop_
_space_group_symop_operation_xyz
'x,y,z'
loop_
_atom_site_label
_atom_site_fract_x
_atom_site_fract_y
_atom_site_fract_z
_atom_site_occupancy
Sm1 0.000 0.000 0.000 1
Sm2 0.333 0.667 0.667 1
Sm3 0.667 0.333 0.333 1
Er1 0.000 0.000 0.244 1
Er2 0.000 0.000 0.756 1
Er3 0.333 0.667 0.422 1
Er4 0.333 0.667 0.911 1
Er5 0.667 0.333 0.089 1
Er6 0.667 0.333 0.578 1
Zr1 0.000 0.000 0.500 1
Zr2 0.333 0.667 0.167 1
Zr3 0.667 0.333 0.833 1
```

* theoretical density: 8.27 g/cm³
* magnetization: 0.001 μB/cell

Model 2:
Here is a relaxed structure of SmEr2Zr from Alexandria via LeMat-Bulk. Energies are from GGA-PBE.

Cell and atoms, written as CIF:
```
data_SmEr2Zr
_chemical_formula_sum 'Sm1 Er2 Zr1'
_cell_length_a 3.991
_cell_length_b 3.991
_cell_length_c 7.355
_cell_angle_alpha 90.00
_cell_angle_beta 90.00
_cell_angle_gamma 90.00
_space_group_name_H-M_alt 'P 1'
_space_group_IT_number 1
loop_
_space_group_symop_operation_xyz
'x,y,z'
loop_
_atom_site_label
_atom_site_fract_x
_atom_site_fract_y
_atom_site_fract_z
_atom_site_occupancy
Sm1 0.000 0.000 0.000 1
Er1 0.500 0.500 0.279 1
Er2 0.500 0.500 0.721 1
Zr1 0.000 0.000 0.500 1
```

* theoretical density: 8.17 g/cm³
* magnetization: 0.000 μB/cell

Model 3:
Here is a relaxed structure of SmEr2Zr from Alexandria via LeMat-Bulk. Energies are from GGA-PBE.

Cell and atoms, written as CIF:
```
data_SmEr2Zr
_chemical_formula_sum 'Sm1 Er2 Zr1'
_cell_length_a 4.862
_cell_length_b 4.862
_cell_length_c 4.872
_cell_angle_alpha 90.00
_cell_angle_beta 90.00
_cell_angle_gamma 90.00
_space_group_name_H-M_alt 'P 1'
_space_group_IT_number 1
loop_
_space_group_symop_operation_xyz
'x,y,z'
loop_
_atom_site_label
_atom_site_fract_x
_atom_site_fract_y
_atom_site_fract_z
_atom_site_occupancy
Sm1 0.000 0.000 0.000 1
Er1 0.000 0.500 0.500 1
Er2 0.500 0.000 0.500 1
Zr1 0.500 0.500 0.000 1
```

* theoretical density: 8.31 g/cm³
* magnetization: 0.000 μB/cell

Taking the most stable structure as the zero point, the relative energies in meV/atom are model 1 0; model 2 91; model 3 20.

Model 1:
Here is a relaxed structure of SmEr2Zr from Alexandria via LeMat-Bulk. Energies are from GGA-PBE.

Cell and atoms, written as CIF:
```
data_SmEr2Zr
_chemical_formula_sum 'Sm4 Er8 Zr4'
_cell_length_a 7.757
_cell_length_b 7.757
_cell_length_c 7.757
_cell_angle_alpha 90.00
_cell_angle_beta 90.00
_cell_angle_gamma 90.00
_space_group_name_H-M_alt 'P 1'
_space_group_IT_number 1
loop_
_space_group_symop_operation_xyz
'x,y,z'
loop_
_atom_site_label
_atom_site_fract_x
_atom_site_fract_y
_atom_site_fract_z
_atom_site_occupancy
Sm1 0.000 0.000 0.000 1
Sm2 0.000 0.500 0.500 1
Sm3 0.500 0.000 0.500 1
Sm4 0.500 0.500 0.000 1
Er1 0.250 0.250 0.250 1
Er2 0.250 0.250 0.750 1
Er3 0.250 0.750 0.250 1
Er4 0.250 0.750 0.750 1
Er5 0.750 0.250 0.250 1
Er6 0.750 0.250 0.750 1
Er7 0.750 0.750 0.250 1
Er8 0.750 0.750 0.750 1
Zr1 0.000 0.000 0.500 1
Zr2 0.000 0.500 0.000 1
Zr3 0.500 0.000 0.000 1
Zr4 0.500 0.500 0.500 1
```

* theoretical density: 8.20 g/cm³
* magnetization: 7.163 μB/cell

Model 2:
Here is a relaxed structure of SmEr2Zr from Alexandria via LeMat-Bulk. Energies are from GGA-PBE.

Cell and atoms, written as CIF:
```
data_SmEr2Zr
_chemical_formula_sum 'Sm3 Er6 Zr3'
_cell_length_a 3.459
_cell_length_b 3.459
_cell_length_c 33.634
_cell_angle_alpha 90.00
_cell_angle_beta 90.00
_cell_angle_gamma 120.00
_space_group_name_H-M_alt 'P 1'
_space_group_IT_number 1
loop_
_space_group_symop_operation_xyz
'x,y,z'
loop_
_atom_site_label
_atom_site_fract_x
_atom_site_fract_y
_atom_site_fract_z
_atom_site_occupancy
Sm1 0.000 0.000 0.000 1
Sm2 0.333 0.667 0.667 1
Sm3 0.667 0.333 0.333 1
Er1 0.000 0.000 0.577 1
Er2 0.000 0.000 0.755 1
Er3 0.333 0.667 0.244 1
Er4 0.333 0.667 0.422 1
Er5 0.667 0.333 0.089 1
Er6 0.667 0.333 0.911 1
Zr1 0.000 0.000 0.166 1
Zr2 0.333 0.667 0.833 1
Zr3 0.667 0.333 0.499 1
```

* theoretical density: 8.23 g/cm³
* magnetization: 0.000 μB/cell

Taking the most stable structure as the zero point, the relative energies in meV/atom are model 1 142; model 2 0.